# 1
Material: Mn2Be9W
Method: DFT, PBE-GGA
State: optimized geometry

## Properties
N(E_F) ... 0.330 states/eV/atom
ΔE_f ... -2.16 eV per formula unit

Unit cell a=4.2722 b=4.2722 c=20.1127 alpha=90.00 beta=90.00 gamma=120.00
With the nearest neighbours (Å) after each atom.
Space group R-3m (No. 166, hexagonal axes)
Symmetry-distinct sites (fractional):
Mn: 0.0000 0.0000 0.1434 x6  12 Be 2.44-2.51, 3 Mn 2.64
Be: 0.0000 0.0000 0.3337 x6  6 Be 2.09-2.10
Be: 0.0000 0.0000 0.5000 x3  6 Be 2.08
Be: 0.0051 0.5025 0.9156 x18  7 Be 2.08-2.17
W: 0.0000 0.0000 0.0000 x3  18 Be 2.47-2.73

=====

# 2
Material: MnBeW2
Method: DFT, PBE-GGA
State: optimized geometry

## Properties
N(E_F) ... 0.824 states/eV/atom
ΔE_f ... 3.11 eV per formula unit

Unit cell a=6.5964 b=6.5964 c=5.1961 alpha=90.00 beta=90.00 gamma=90.00
With the nearest neighbours (Å) after each atom.
Space group I-42d (No. 122)
Symmetry-distinct sites (fractional):
Mn: 0.0000 0.0000 0.0000 x4  4 W 2.48, 2 Be 2.60
Be: 0.0000 0.0000 0.5000 x4  4 W 2.37, 2 Mn 2.60
W: 0.2374 0.7500 0.6250 x8  2 Be 2.37, 2 Mn 2.48, 2 W 2.60

=====

# 3
Material: Mn2BeW
Method: DFT, PBE-GGA
State: optimized geometry

## Properties
N(E_F) ... 0.709 states/eV/atom
ΔE_f ... 1.22 eV per formula unit

Unit cell a=2.6183 b=2.6183 c=24.4317 alpha=90.00 beta=90.00 gamma=120.00
With the nearest neighbours (Å) after each atom.
Space group R3m (No. 160, hexagonal axes)
Symmetry-distinct sites (fractional):
Mn: 0.0000 0.0000 0.0000 x3  9 Mn 2.39-2.62, 3 Be 2.41
Mn: 0.0000 0.0000 0.2576 x3  9 Mn 2.39-2.62
Be: 0.0000 0.0000 0.7435 x3  3 Mn 2.41, 6 Be 2.62, 3 W 2.62
W: 0.0000 0.0000 0.4979 x3  6 W 2.62, 3 Be 2.62, 3 Mn 2.73

=====

# 4
Material: Mn2BeW
Method: DFT, PBE-GGA
State: optimized geometry

## Properties
N(E_F) ... 0.636 states/eV/atom
ΔE_f ... -0.06 eV per formula unit

Unit cell a=2.9623 b=2.9623 c=5.3245 alpha=90.00 beta=90.00 gamma=90.00
With the nearest neighbours (Å) after each atom.
Space group P4/mmm (No. 123)
Symmetry-distinct sites (fractional):
Mn: 0.0000 0.0000 0.2213 x2  1 Mn 2.36, 4 Be 2.40, 4 W 2.57
Be: 0.5000 0.5000 0.0000 x1  8 Mn 2.40, 2 W 2.66
W: 0.5000 0.5000 0.5000 x1  8 Mn 2.57, 2 Be 2.66